No. 1
This record from the Alexandria database describes RbCuO2F after structural relaxation. The functional is PBE.

Results
As for the uncorrected formation energy: 64.5 kJ/mol of atoms. As for the magnetic moment: 0.6 Bohr magnetons per cell. Its space group is P4/mmm (123).

extended XYZ file:
```
5
Lattice="4.3733 0.0000 0.0000 0.0000 4.9817 0.0000 0.0000 0.0000 4.3733" Properties=species:S:1:pos:R:3 pbc="T T T"
O 0.0000 0.0000 2.1867
O 2.1867 0.0000 0.0000
Cu 2.1867 2.4908 2.1867
Rb 0.0000 0.0000 0.0000
F 0.0000 2.4908 0.0000
```

---

No. 2
This record from the Alexandria database describes CsBiPd after structural relaxation. The functional is PBE.

Results
The offset from the most stable computed form is 10 kJ/mol of formula units. As for the magnetic moment: 0.0 Bohr magnetons per cell. Its space group is P1 (1).

extended XYZ file:
```
6
Lattice="-3.0541 3.0064 1.0314 -3.9832 -3.2719 -2.2575 0.1483 -5.7898 8.1124" Properties=species:S:1:pos:R:3 pbc="T T T"
Cs -2.2973 -0.9501 2.3112
Cs -5.1292 -5.2866 6.5773
Bi -3.0189 -4.9567 2.3788
Bi -1.3322 -4.3046 5.4722
Pd -3.7021 -3.1291 4.4406
Pd -5.6934 -4.7638 3.3109
```

---

> Among the records above, which one has the lowest magnetic moment?

CsBiPd